VASP calculation (GGA+U) on an optimized crystal structure of BaV2O6.

a = 5.106 Å, b = 5.106 Å, c = 5.727 Å
α = 90.00°, β = 90.00°, γ = 120.00°
Fractional coordinates of all 9 atoms:
Ba: 0.000 0.000 0.000
V: 0.333 0.667 0.500
V: 0.667 0.333 0.500
O: 0.000 0.409 0.692
O: 0.000 0.591 0.308
O: 0.409 0.000 0.692
O: 0.409 0.409 0.308
O: 0.591 0.000 0.308
O: 0.591 0.591 0.692

Results
D(E_F) ... 0.000 states/eV per cell
Density ... 4.30 Mg/m³
Final energy ... -66.2 eV per formula unit
SG ... No. 162